# 1
The following is a GGA-PBE calculation of Y6AlZn after structural relaxation, from Alexandria.

Output
* total magnetic moment: 0.00 μB per cell
* E_form: -1.43 eV/f.u.

abc: 5.068 5.068 9.496
angles: 74.52 74.52 90.00
Positions (direct):
Y  0.897  0.397  0.207
Y  0.251  0.251  0.497
Y  0.603  0.103  0.793
Y  0.103  0.603  0.793
Y  0.749  0.749  0.503
Zn  0.000  0.000  0.000
Al  0.500  0.500  0.000
Y  0.397  0.897  0.207

=====

# 2
The following is a GGA-PBE calculation of ZnFe2HAu after structural relaxation, from Alexandria.

Output
* total magnetic moment: 4.71 μB per cell
* energy above the most stable polymorph in this dataset: 0.23 eV/f.u.

abc: 3.713 3.713 4.205
angles: 90.00 90.00 90.00
Positions (direct):
Au  0.000  0.000  0.500
Zn  0.500  0.500  0.500
H  0.000  0.000  0.000
Fe  0.000  0.500  0.000
Fe  0.500  0.000  0.000

=====

# 3
The following is a GGA-PBE calculation of FeNi2Pb after structural relaxation, from Alexandria.

Output
* total magnetic moment: 3.15 μB per cell
* E_form: 1.28 eV/f.u.

abc: 4.323 4.323 4.323
angles: 60.00 60.00 60.00
Positions (direct):
Pb  0.750  0.750  0.750
Ni  0.250  0.250  0.250
Ni  0.000  0.000  0.000
Fe  0.500  0.500  0.500

=====

# 4
The following is a GGA-PBE calculation of Hf4NiC2 after structural relaxation, from Alexandria.

Output
* total magnetic moment: 0.00 μB per cell
* E_form: -4.91 eV/f.u.

abc: 3.311 5.735 11.724
angles: 90.00 90.00 106.78
Positions (direct):
Ni  0.612  0.224  0.750
Hf  0.500  0.000  0.000
Hf  0.063  0.125  0.250
C  0.136  0.271  0.060
Hf  0.500  0.000  0.500
Hf  0.768  0.537  0.389
Hf  0.937  0.875  0.750
Hf  0.232  0.463  0.889
C  0.864  0.729  0.560
Hf  0.232  0.463  0.611
Hf  0.768  0.537  0.111
C  0.136  0.271  0.440
Ni  0.388  0.776  0.250
C  0.864  0.729  0.940

=====

# 5
The following is a GGA-PBE calculation of NpFe2PC after structural relaxation, from Alexandria.

Output
* total magnetic moment: 6.82 μB per cell
* E_form: -2.30 eV/f.u.

abc: 3.637 5.536 6.598
angles: 90.00 90.00 109.18
Positions (direct):
P  0.273  0.546  0.250
Fe  0.830  0.661  0.056
C  0.000  0.000  0.500
P  0.727  0.454  0.750
Fe  0.170  0.339  0.556
Np  0.452  0.904  0.750
Fe  0.170  0.339  0.944
Fe  0.830  0.661  0.444
Np  0.548  0.096  0.250
C  0.000  0.000  0.000

=====

# 6
The following is a GGA-PBE calculation of ReNi4Rh2 after structural relaxation, from Alexandria.

Output
* total magnetic moment: 0.01 μB per cell
* E_form: 2.39 eV/f.u.
* energy above the most stable polymorph in this dataset: 2.36 eV/f.u.

abc: 4.255 6.610 6.610
angles: 90.00 90.00 90.00
Positions (direct):
Ni  0.000  0.856  0.591
Ni  0.500  0.644  0.091
Rh  0.500  0.666  0.666
Ni  0.000  0.144  0.409
Rh  0.500  0.334  0.334
Re  0.000  0.500  0.500
Ni  0.500  0.356  0.909
Ni  0.000  0.591  0.856
Rh  0.000  0.834  0.166
Re  0.500  0.000  0.000
Ni  0.500  0.909  0.356
Ni  0.500  0.091  0.644
Rh  0.000  0.166  0.834
Ni  0.000  0.409  0.144